Model P:
Pa2SbH after structural relaxation, computed with GGA-PBE.

Values from the calculation:
Its space group is No. 166. Its total magnetic moment is 0.0 μB/f.u.

The structure in POSCAR format:
```
Pa2SbH
1.0
1.647 0.951 8.493
-1.647 0.951 8.493
0.000 -1.902 8.493
Pa Sb H
2 1 1
Cartesian
0.000 0.000 5.792 Pa
0.000 0.000 19.688 Pa
0.000 0.000 0.000 Sb
0.000 0.000 12.740 H
```

Model Q:
Pa2SbH after structural relaxation, computed with GGA-PBE.

Values from the calculation:
Its space group is No. 62. Its total magnetic moment is 0.0 μB/f.u.

The structure in POSCAR format:
```
Pa2SbH
1.0
6.537 0.000 0.000
0.000 4.688 0.000
0.000 0.000 10.354
Pa Sb H
8 4 4
Cartesian
0.694 1.172 2.413 Pa
1.018 1.172 5.905 Pa
2.250 3.516 0.728 Pa
2.574 3.516 7.590 Pa
3.962 1.172 2.763 Pa
4.286 1.172 9.626 Pa
5.518 3.516 4.449 Pa
5.842 3.516 7.940 Pa
1.049 1.172 9.193 Sb
2.220 3.516 4.016 Sb
4.317 1.172 6.338 Sb
5.488 3.516 1.161 Sb
0.607 3.516 6.191 H
2.661 1.172 1.014 H
3.875 3.516 9.340 H
5.930 1.172 4.163 H
```

Pick model Q: it beats the second-best structure by 193 meV/atom.

Model P:
ScPaH2 after structural relaxation, computed with GGA-PBE.

Values from the calculation:
Its space group is No. 160. Its total magnetic moment is 0.0 μB/f.u.

The structure in POSCAR format:
```
ScPaH2
1.0
1.593 0.920 5.854
-1.593 0.920 5.854
0.000 -1.839 5.854
Sc Pa H
1 1 2
Cartesian
0.000 0.000 0.000 Sc
0.000 0.000 3.108 Pa
0.000 0.000 7.192 H
0.000 0.000 10.547 H
```

Model Q:
ScPaH2 after structural relaxation, computed with GGA-PBE.

Values from the calculation:
Its space group is No. 166. Its total magnetic moment is 0.4 μB/f.u.

The structure in POSCAR format:
```
ScPaH2
1.0
1.608 0.928 5.776
-1.608 0.928 5.776
0.000 -1.857 5.776
Sc Pa H
1 1 2
Cartesian
0.000 0.000 0.000 Sc
0.000 0.000 8.664 Pa
0.000 0.000 4.539 H
0.000 0.000 12.789 H
```

Pick model Q: it beats the second-best structure by 37 meV/atom.

Model P:
Pa3HSe6 after structural relaxation, computed with GGA-PBE.

Values from the calculation:
Its space group is No. 36. Its total magnetic moment is 3.4 μB/f.u.

The structure in POSCAR format:
```
Pa3HSe6
1.0
5.516 -6.738 0.000
5.516 6.738 0.000
0.000 0.000 6.863
Pa H Se
6 2 12
Cartesian
5.516 5.392 3.432 Pa
3.626 1.371 2.631 Pa
3.626 -1.371 6.062 Pa
7.407 1.371 2.631 Pa
7.407 -1.371 6.062 Pa
5.516 -5.392 0.000 Pa
5.516 3.511 6.827 H
5.516 -3.511 3.396 H
3.577 3.629 4.504 Se
1.827 0.528 4.754 Se
1.827 -0.528 1.323 Se
5.516 3.221 1.457 Se
7.455 3.629 4.504 Se
5.516 0.299 4.542 Se
5.516 -0.299 1.110 Se
3.577 -3.629 1.073 Se
5.516 -3.221 4.888 Se
9.205 0.528 4.754 Se
9.205 -0.528 1.323 Se
7.455 -3.629 1.073 Se
```

Model Q:
Pa3HSe6 after structural relaxation, computed with GGA-PBE.

Values from the calculation:
Its space group is No. 36. Its total magnetic moment is 1.5 μB/f.u.

The structure in POSCAR format:
```
Pa3HSe6
1.0
5.656 -6.595 0.000
5.656 6.595 0.000
0.000 0.000 6.696
Pa H Se
6 2 12
Cartesian
5.656 5.472 3.348 Pa
3.742 1.384 4.230 Pa
3.742 -1.384 0.882 Pa
7.570 1.384 4.230 Pa
7.570 -1.384 0.882 Pa
5.656 -5.472 0.000 Pa
5.656 5.809 1.151 H
5.656 -5.809 4.499 H
3.689 3.619 2.361 Se
2.004 0.620 2.120 Se
2.004 -0.620 5.468 Se
5.656 3.167 5.243 Se
7.623 3.619 2.361 Se
5.656 0.350 2.319 Se
5.656 -0.350 5.667 Se
3.689 -3.619 5.709 Se
5.656 -3.167 1.895 Se
9.308 0.620 2.120 Se
9.308 -0.620 5.468 Se
7.623 -3.619 5.709 Se
```

Pick model Q: it beats the second-best structure by 120 meV/atom.

Model P:
Pa2HSe3 after structural relaxation, computed with GGA-PBE.

Values from the calculation:
Its space group is No. 62. Its total magnetic moment is 2.5 μB/f.u.

The structure in POSCAR format:
```
Pa2HSe3
1.0
11.097 0.000 0.000
0.000 3.923 0.000
0.000 0.000 11.340
Pa H Se
8 4 12
Cartesian
0.375 0.981 2.062 Pa
2.212 0.981 5.871 Pa
3.336 2.942 0.201 Pa
5.174 2.942 7.732 Pa
5.923 0.981 3.608 Pa
7.761 0.981 11.140 Pa
8.885 2.942 5.469 Pa
10.723 2.942 9.278 Pa
1.396 2.942 1.439 H
4.153 0.981 7.109 H
6.945 2.942 4.231 H
9.701 0.981 9.901 H
0.624 2.942 4.272 Se
1.353 0.981 10.651 Se
2.305 2.942 8.017 Se
3.244 0.981 2.347 Se
4.196 2.942 4.981 Se
4.925 0.981 9.942 Se
6.172 2.942 1.398 Se
6.902 0.981 6.359 Se
7.853 2.942 8.993 Se
8.792 0.981 3.323 Se
9.744 2.942 0.689 Se
10.473 0.981 7.068 Se
```

Model Q:
Pa2HSe3 after structural relaxation, computed with GGA-PBE.

Values from the calculation:
Its space group is No. 72. Its total magnetic moment is 3.0 μB/f.u.

The structure in POSCAR format:
```
Pa2HSe3
1.0
-3.297 6.143 3.757
3.297 -6.143 3.757
3.297 6.143 -3.757
Pa H Se
4 2 6
Cartesian
1.470 1.636 0.000 Pa
1.470 -1.636 3.757 Pa
1.827 7.780 0.000 Pa
1.827 4.507 3.757 Pa
3.297 0.000 0.000 H
0.000 6.143 0.000 H
3.297 -2.674 1.879 Se
0.000 0.000 1.879 Se
3.297 2.674 1.879 Se
0.000 3.470 1.879 Se
0.000 0.000 5.636 Se
0.000 8.817 1.879 Se
```

Pick model P: it beats the second-best structure by 346 meV/atom.

Model P:
Pa2SiH after structural relaxation, computed with GGA-PBE.

Values from the calculation:
Its space group is No. 166. Its total magnetic moment is 0.0 μB/f.u.

The structure in POSCAR format:
```
Pa2SiH
1.0
1.777 1.026 6.866
-1.777 1.026 6.866
0.000 -2.051 6.866
Pa Si H
2 1 1
Cartesian
0.000 0.000 4.938 Pa
0.000 0.000 15.660 Pa
0.000 0.000 0.000 Si
0.000 0.000 10.299 H
```

Model Q:
Pa2SiH after structural relaxation, computed with GGA-PBE.

Values from the calculation:
Its space group is No. 123. Its total magnetic moment is 0.0 μB/f.u.

The structure in POSCAR format:
```
Pa2SiH
1.0
3.326 0.000 0.000
0.000 3.326 0.000
0.000 0.000 6.330
Pa Si H
2 1 1
Cartesian
0.000 0.000 1.444 Pa
0.000 0.000 4.886 Pa
1.663 1.663 3.165 Si
1.663 1.663 0.000 H
```

Model R:
Pa2SiH after structural relaxation, computed with GGA-PBE.

Values from the calculation:
Its space group is No. 63. Its total magnetic moment is 0.0 μB/f.u.

The structure in POSCAR format:
```
Pa2SiH
1.0
1.544 -6.487 0.000
1.544 6.487 0.000
0.000 0.000 7.041
Pa Si H
4 2 2
Cartesian
1.544 4.705 3.554 Pa
1.544 4.705 7.007 Pa
1.544 -4.705 0.034 Pa
1.544 -4.705 3.487 Pa
1.544 0.054 5.281 Si
1.544 -0.054 1.760 Si
1.544 2.912 1.760 H
1.544 -2.912 5.281 H
```

Pick model R: it beats the second-best structure by 10 meV/atom.

Model P:
Sm2PaH after structural relaxation, computed with GGA-PBE.

Values from the calculation:
Its space group is No. 123. Its total magnetic moment is 0.0 μB/f.u.

The structure in POSCAR format:
```
Sm2PaH
1.0
3.261 0.000 0.000
0.000 3.261 0.000
0.000 0.000 8.448
Sm Pa H
2 1 1
Cartesian
0.000 0.000 1.659 Sm
0.000 0.000 6.789 Sm
1.631 1.631 4.224 Pa
1.631 1.631 0.000 H
```

Model Q:
Sm2PaH after structural relaxation, computed with GGA-PBE.

Values from the calculation:
Its space group is No. 166. Its total magnetic moment is 0.0 μB/f.u.

The structure in POSCAR format:
```
Sm2PaH
1.0
1.652 0.954 9.556
-1.652 0.954 9.556
0.000 -1.907 9.556
Sm Pa H
2 1 1
Cartesian
0.000 0.000 3.243 Sm
0.000 0.000 25.424 Sm
0.000 0.000 0.000 Pa
0.000 0.000 14.334 H
```

Pick model Q: it beats the second-best structure by 60 meV/atom.